## YMgSc2 (SCAN)

Data for a PBEsol-optimized structure of YMgSc2.

Computed properties:
The calculation puts the total energy at -15.2533 eV per atom. The space-group type is No. 166. As for the formation energy: 0.069 eV/atom.

```
YMgSc2
1.0
1.644 0.949 10.743
-1.644 0.949 10.743
0.000 -1.898 10.743
Y Mg Sc
1 1 2
Direct
0.000 0.000 0.000
0.500 0.500 0.500
0.248 0.248 0.248
0.752 0.752 0.752
```